(1)
A plane-wave DFT calculation with GGA-PBE was carried out for a relaxed KAlZn2Te4 crystal.

Its space group is I222 (23). The calculated density comes out at 4.2 g/cm³. The uncorrected formation energy comes out at -0.492 eV/atom.

Cell and atoms, written as extended XYZ:
```
8
Lattice="-6.9991 -0.4075 -0.3593 -3.0115 -5.0411 -4.2011 -3.4687 -4.6661 4.2809" Properties=species:S:1:pos:R:3 pbc="T T T"
K 0.0000 0.0000 0.0000
Te -5.0418 -6.5172 -1.5580
Te -8.2725 -6.5569 1.4183
Te -5.3759 -3.4193 1.4357
Te -8.2686 -3.7361 -1.8548
Al -6.7397 -5.0574 -0.1397
Zn -10.1535 -6.7977 -0.2468
Zn -3.3259 -3.3170 -0.0326
```

(2)
A plane-wave DFT calculation with GGA-PBE was carried out for a relaxed TlTc2S crystal.

Its space group is Fm-3m (225). The calculated density comes out at 11.1 g/cm³. The uncorrected formation energy comes out at 0.802 eV/atom.

Cell and atoms, written as extended XYZ:
```
4
Lattice="-3.2873 -2.4110 1.9116 -0.4552 -0.0323 4.4794 -3.4960 2.0867 1.9227" Properties=species:S:1:pos:R:3 pbc="T T T"
S 0.0000 0.0000 0.0000
Tc -1.8096 -0.0892 2.0784
Tc -5.4288 -0.2675 6.2353
Tl -3.6192 -0.1783 4.1569
```

(3)
A plane-wave DFT calculation with GGA-PBE was carried out for a relaxed PmMgZr2Ir4 crystal.

Its space group is R-3m (166). The calculated density comes out at 12.5 g/cm³. For the formation energy, the calculation gives -0.65 eV per atom.

Cell and atoms, written as extended XYZ:
```
8
Lattice="-2.7496 -1.9004 3.1743 1.7994 -1.6958 3.8903 -1.2009 6.0190 5.9101" Properties=species:S:1:pos:R:3 pbc="T T T"
Ir -0.7798 -1.2029 5.2982
Ir -1.3713 3.6257 7.6766
Ir -1.2881 -0.8375 8.4235
Ir -0.8630 3.2603 4.5512
Zr -1.5912 1.6363 9.6420
Zr -0.5599 0.7865 3.3327
Pm 0.0000 0.0000 0.0000
Mg -1.0755 1.2114 6.4874
```

(4)
A plane-wave DFT calculation with GGA-PBE was carried out for a relaxed RbTlBi crystal.

Its space group is P-1 (2). The calculated density comes out at 7.0 g/cm³. For the formation energy, the calculation gives -0.16 eV per atom.

Cell and atoms, written as extended XYZ:
```
6
Lattice="-3.6245 -3.9430 -1.6428 0.2867 -5.9288 4.0552 -4.1219 1.8369 4.6832" Properties=species:S:1:pos:R:3 pbc="T T T"
Bi -4.1020 0.4989 5.0715
Bi -4.5166 -2.2430 3.0186
Rb -2.7796 -4.8840 5.5409
Rb -1.4304 -4.6258 1.9211
Tl -5.0122 -5.4042 2.1426
Tl -2.8224 -8.0485 3.6766
```

(5)
A plane-wave DFT calculation with GGA-PBE was carried out for a relaxed KAlN2 crystal.

Its space group is I4_1/amd (141). The calculated density comes out at 2.4 g/cm³. The uncorrected formation energy comes out at -0.088 eV/atom.

Cell and atoms, written as extended XYZ:
```
8
Lattice="-2.8633 -3.7613 0.9787 1.1629 0.3308 4.6736 -5.1061 1.7366 3.6408" Properties=species:S:1:pos:R:3 pbc="T T T"
N -1.6223 -0.7680 4.1978
N -5.6077 -1.7818 6.5099
N -4.1770 0.0986 6.0167
N -2.2061 -0.9365 1.8618
Al -2.3967 0.1761 5.5703
Al -0.8502 -1.7153 2.8261
K -4.4098 -1.8700 3.7228
K 0.0000 0.0000 0.0000
```

(6)
A plane-wave DFT calculation with GGA-PBE was carried out for a relaxed LaPmAg crystal.

Its space group is Pnma (62). The calculated density comes out at 7.2 g/cm³. For the formation energy, the calculation gives -0.15 eV per atom.

Cell and atoms, written as extended XYZ:
```
12
Lattice="-2.5265 -4.0830 2.0871 3.8922 -5.7036 -6.4464 5.6862 -1.2144 4.5077" Properties=species:S:1:pos:R:3 pbc="T T T"
Ag 1.2190 -1.8986 1.0447
Ag 5.2371 -4.2277 1.3523
Ag 1.8147 -6.7733 -1.2040
Ag 5.8329 -9.1024 -0.8964
La 5.3333 -6.2759 -2.5382
La -0.6022 -4.8834 -0.4325
La 7.6540 -6.1176 0.5808
La 1.7186 -4.7251 2.6865
Pm 4.5247 -2.5223 3.8262
Pm 4.0637 -7.1713 0.7398
Pm 2.9881 -3.8297 -0.5915
Pm 2.5272 -8.4787 -3.6779
```

(7)
A plane-wave DFT calculation with GGA-PBE was carried out for a relaxed Te3WBr crystal.

Its space group is Pm-3m (221). The calculated density comes out at 7.2 g/cm³. The uncorrected formation energy comes out at 0.392 eV/atom.

Cell and atoms, written as extended XYZ:
```
5
Lattice="-2.3494 4.5849 1.2468 -2.7373 -2.4429 3.8256 3.8837 1.0518 3.4505" Properties=species:S:1:pos:R:3 pbc="T T T"
Te 1.9419 0.5259 1.7253
Te -1.1747 2.2925 0.6234
Te -1.3686 -1.2215 1.9128
Br -0.6015 1.5969 4.2615
W 0.0000 0.0000 0.0000
```

(8)
A plane-wave DFT calculation with GGA-PBE was carried out for a relaxed GePb crystal.

Its space group is Fm-3m (225). The calculated density comes out at 8.7 g/cm³. For the formation energy, the calculation gives 0.28 eV per atom.

Cell and atoms, written as extended XYZ:
```
8
Lattice="-3.2011 4.1406 -2.8813 0.3000 -3.2502 -5.0040 -5.0355 -2.8259 1.5336" Properties=species:S:1:pos:R:3 pbc="T T T"
Ge -4.1183 0.6574 -0.6739
Ge -1.4506 0.4452 -3.9427
Ge -2.3678 -3.0380 -1.7352
Ge 0.0000 0.0000 0.0000
Pb 0.1500 -1.6251 -2.5020
Pb -3.9683 -0.9677 -3.1759
Pb -1.6006 2.0703 -1.4407
Pb -2.5178 -1.4129 0.7668
```

(9)
A plane-wave DFT calculation with GGA-PBE was carried out for a relaxed HRu2BrF crystal.

Its space group is P4/mmm (123). The calculation puts the raw total energy at -3.82 eV per atom. The calculated density comes out at 5.3 g/cm³.

Cell and atoms, written as extended XYZ:
```
5
Lattice="4.1366 0.0000 0.0000 0.0000 5.5437 0.0000 0.0000 0.0000 4.1366" Properties=species:S:1:pos:R:3 pbc="T T T"
Ru 0.0000 0.0000 2.0683
Ru 2.0683 0.0000 0.0000
H 2.0683 2.7718 2.0683
Br 0.0000 2.7718 0.0000
F 0.0000 0.0000 0.0000
```

(10)
A plane-wave DFT calculation with GGA-PBE was carried out for a relaxed SrLaZr2 crystal.

Its space group is Pm (6). The calculated density comes out at 5.3 g/cm³. For the formation energy, the calculation gives 0.32 eV per atom.

Cell and atoms, written as extended XYZ:
```
4
Lattice="5.2351 0.0000 0.0000 0.0000 3.4968 0.0170 0.0000 1.7027 7.0419" Properties=species:S:1:pos:R:3 pbc="T T T"
Zr 0.0000 0.6587 0.3292
Zr 2.6176 0.6431 1.5865
Sr 2.6176 4.1110 5.5252
La 0.0000 2.3864 3.1473
```

(11)
A plane-wave DFT calculation with GGA-PBE was carried out for a relaxed Ca8AlFe4 crystal.

Its space group is I4/mmm (139). The calculated density comes out at 2.8 g/cm³. For the formation energy, the calculation gives 0.49 eV per atom.

Cell and atoms, written as extended XYZ:
```
13
Lattice="8.3549 0.0309 0.0000 -6.6134 5.1057 0.0000 -0.8707 -2.5683 7.9026" Properties=species:S:1:pos:R:3 pbc="T T T"
Ca 2.3215 2.0765 1.5318
Ca 5.0028 -1.6961 5.2825
Ca -0.5800 3.0602 1.5318
Ca 1.4507 -0.4918 6.3708
Ca -1.4507 0.4918 6.3708
Ca 2.4814 -0.8413 2.6201
Ca -2.4814 0.8413 2.6201
Ca -5.0028 1.6961 5.2825
Fe 4.1775 0.0155 0.0000
Fe -0.4354 -1.2842 3.9513
Fe 0.4354 1.2842 3.9513
Fe -3.3067 2.5528 0.0000
Al 0.0000 0.0000 0.0000
```

(12)
A plane-wave DFT calculation with GGA-PBE was carried out for a relaxed PmPr2Pd crystal.

Its space group is Cmcm (63). The calculated density comes out at 7.3 g/cm³. For the formation energy, the calculation gives -0.38 eV per atom.

Cell and atoms, written as extended XYZ:
```
8
Lattice="-2.5829 -1.2047 -2.7042 2.9823 -5.2261 2.3357 -7.0545 -0.8459 7.1147" Properties=species:S:1:pos:R:3 pbc="T T T"
Pd -5.6735 -4.3701 4.5125
Pd -0.9815 -2.9067 2.2337
Pr -3.9370 -2.5585 2.0472
Pr -1.2537 -2.2367 -0.6591
Pr -5.4013 -5.0400 7.4053
Pr -2.7180 -4.7182 4.6990
Pm -1.6198 -5.7583 1.2618
Pm -5.0352 -1.5184 5.4844
```